Record 1
Material: Tl3Cd2In9
Method: DFT, PBE-GGA
State: optimized geometry

Output
The space-group type is Immm (71). For the volume, the calculation gives 395 Å³ per cell. The crystal system is orthorhombic. The uncorrected energy comes out at -2.363 eV per atom. The value obtained for the formation energy is 0.035 eV per atom.

```
Tl3Cd2In9
1.0
0.498 0.913 4.650
9.147 -1.702 1.796
3.667 8.731 0.334
In Cd Tl
9 2 3
Direct
0.356 0.016 0.272 In
0.147 0.144 0.562 In
0.853 0.438 0.856 In
0.356 0.272 0.016 In
0.000 0.500 0.500 In
0.147 0.562 0.144 In
0.644 0.984 0.728 In
0.853 0.856 0.438 In
0.644 0.728 0.984 In
0.500 0.674 0.326 Cd
0.500 0.326 0.674 Cd
0.000 0.000 0.000 Tl
0.704 0.296 0.296 Tl
0.296 0.704 0.704 Tl
```

---

Record 2
Material: ThZnIr
Method: DFT, PBE-GGA
State: optimized geometry

Output
The space-group type is P-6m2 (187). For the volume, the calculation gives 64 Å³ per cell. The crystal system is hexagonal. The uncorrected energy comes out at -6.455 eV per atom. The value obtained for the formation energy is -0.603 eV per atom.

```
ThZnIr
1.0
-1.288 3.277 -1.372
-3.216 -0.001 3.017
3.873 1.902 0.907
Ir Th Zn
1 1 1
Direct
0.167 0.000 0.000 Ir
0.666 0.333 0.667 Th
0.166 0.667 0.333 Zn
```

---

Record 3
Material: BeAlSb2
Method: DFT, PBE-GGA
State: optimized geometry

Output
The space-group type is R3m (160). For the volume, the calculation gives 92 Å³ per cell. The crystal system is trigonal. The uncorrected energy comes out at -3.648 eV per atom.

```
BeAlSb2
1.0
9.955 0.006 0.003
9.410 3.250 0.003
9.410 1.582 2.839
Al Be Sb
1 1 2
Direct
0.484 0.484 0.484 Al
0.759 0.759 0.759 Be
0.226 0.226 0.226 Sb
0.031 0.031 0.031 Sb
```

---

Record 4
Material: UHgPdPb
Method: DFT, PBE-GGA
State: optimized geometry

Output
The space-group type is F-43m (216). For the volume, the calculation gives 93 Å³ per cell. The crystal system is cubic. The uncorrected energy comes out at -5.085 eV per atom. The value obtained for the formation energy is 0.037 eV per atom.

```
UHgPdPb
1.0
-1.706 -3.397 -3.378
0.713 -4.970 0.809
-3.953 -2.980 1.165
U Hg Pd Pb
1 1 1 1
Direct
0.750 0.750 0.750 U
0.000 0.000 0.000 Hg
0.500 0.500 0.500 Pd
0.250 0.250 0.250 Pb
```

---

Record 5
Material: Ce2SnHPd6
Method: DFT, PBE-GGA
State: optimized geometry

Output
The space-group type is C2/m (12). For the volume, the calculation gives 184 Å³ per cell. The crystal system is monoclinic. The uncorrected energy comes out at -5.651 eV per atom.

```
Ce2SnHPd6
1.0
5.743 0.015 -0.007
-0.021 7.180 -0.996
2.869 2.880 4.053
H Ce Pd Sn
1 2 6 1
Direct
0.000 0.000 0.000 H
0.235 0.707 0.530 Ce
0.765 0.293 0.470 Ce
0.269 0.821 0.956 Pd
0.775 0.823 0.449 Pd
0.731 0.179 0.044 Pd
0.225 0.177 0.551 Pd
0.225 0.179 0.044 Pd
0.775 0.821 0.956 Pd
0.500 0.500 0.000 Sn
```

---

Record 6
Material: MnInW2
Method: DFT, PBE-GGA
State: optimized geometry

Output
The space-group type is P4/mmm (123). For the volume, the calculation gives 67 Å³ per cell. The crystal system is tetragonal. The uncorrected energy comes out at -8.983 eV per atom. The value obtained for the formation energy is 0.470 eV per atom.

```
MnInW2
1.0
-3.207 -0.818 -0.060
0.720 -2.695 -1.782
0.721 -3.206 5.141
W In Mn
2 1 1
Direct
0.000 0.000 0.550 W
0.000 0.000 0.950 W
0.500 0.500 0.250 In
0.500 0.500 0.750 Mn
```

---

The lowest uncorrected energy belongs to which entry? MnInW2